(1)
Crystalline PrScCd2 at its relaxed geometry. Source: the Alexandria database, functional PBE.

abc: 3.7879 5.2359 5.2359
angles: 90.00 90.00 90.00
Each line ends with the local moment (μB).
Atoms (fractional coordinates):
Pr1 0.5000 0.5000 0.5000  0.13
Sc1 0.5000 0.0000 0.0000  0.21
Cd1 0.0000 0.0000 0.5000  0.01
Cd2 0.0000 0.5000 0.0000  0.01

Excess energy over the best structure of this formula in the dataset   5.6 kJ/mol of atoms
Magnetization   0.6 μB per cell
Fermi-level density of states   1.0973 states/eV per atom



(2)
Crystalline Pr5ScCd4 at its relaxed geometry. Source: the Alexandria database, functional PBE.

abc: 3.8427 3.8427 20.0256
angles: 90.00 90.00 90.00
Each line ends with the local moment (μB).
Atoms (fractional coordinates):
Pr1 0.5000 0.5000 0.1055  0.03
Pr2 0.5000 0.5000 0.3036  0.15
Pr3 0.5000 0.5000 0.5000  0.14
Pr4 0.5000 0.5000 0.6964  0.15
Pr5 0.5000 0.5000 0.8945  0.03
Sc1 0.0000 0.0000 0.0000  0.04
Cd1 0.0000 0.0000 0.2023  0.01
Cd2 0.0000 0.0000 0.4019  0.01
Cd3 0.0000 0.0000 0.5981  0.01
Cd4 0.0000 0.0000 0.7977  0.01

Magnetization   1.2 μB per cell
Fermi-level density of states   1.3742 states/eV per atom
Energy   -3.619 eV per atom



(3)
Crystalline Pr12ScCd3 at its relaxed geometry. Source: the Alexandria database, functional PBE.

abc: 5.0271 5.0271 20.2941
angles: 90.00 90.00 90.00
Atoms (fractional coordinates):
Pr1 0.5000 0.5000 0.0000
Pr2 0.5000 0.5000 0.2510
Pr3 0.5000 0.5000 0.5000
Pr4 0.5000 0.5000 0.7490
Pr5 0.5000 0.0000 0.1262
Pr6 0.5000 0.0000 0.3759
Pr7 0.5000 0.0000 0.6241
Pr8 0.5000 0.0000 0.8738
Pr9 0.0000 0.5000 0.1262
Pr10 0.0000 0.5000 0.3759
Pr11 0.0000 0.5000 0.6241
Pr12 0.0000 0.5000 0.8738
Sc1 0.0000 0.0000 0.0000
Cd1 0.0000 0.0000 0.2540
Cd2 0.0000 0.0000 0.5000
Cd3 0.0000 0.0000 0.7460

Magnetization   0.0 μB per cell
Fermi-level density of states   1.4473 states/eV per atom
Energy   -4.227 eV per atom



(4)
Crystalline PrScCd3 at its relaxed geometry. Source: the Alexandria database, functional PBE.

abc: 3.4008 4.9651 14.7990
angles: 90.00 96.60 90.00
Atoms (fractional coordinates):
Pr1 0.9233 0.7500 0.8465
Pr2 0.0767 0.2500 0.1535
Sc1 0.2163 0.7500 0.4326
Sc2 0.7837 0.2500 0.5674
Cd1 0.6280 0.7500 0.2561
Cd2 0.3720 0.2500 0.7439
Cd3 0.5253 0.7500 0.0506
Cd4 0.4747 0.2500 0.9494
Cd5 0.6830 0.2500 0.3661
Cd6 0.3170 0.7500 0.6339

Magnetization   0.0 μB per cell
Fermi-level density of states   0.9337 states/eV per atom
Energy   -3.055 eV per atom



(5)
Crystalline PrSc3Cd at its relaxed geometry. Source: the Alexandria database, functional PBE.

abc: 5.3948 6.7235 7.8747
angles: 90.00 110.03 90.00
Atoms (fractional coordinates):
Pr1 0.8893 0.7500 0.7785
Pr2 0.1107 0.2500 0.2215
Sc1 0.6879 0.9965 0.3757
Sc2 0.3121 0.0035 0.6243
Sc3 0.3121 0.4965 0.6243
Sc4 0.6879 0.5035 0.3757
Sc5 0.1328 0.7500 0.2656
Sc6 0.8672 0.2500 0.7344
Cd1 0.5108 0.7500 0.0216
Cd2 0.4892 0.2500 0.9784

Magnetization   0.0 μB per cell
Fermi-level density of states   1.4526 states/eV per atom
Energy   -4.950 eV per atom



(6)
Crystalline PrSc2Cd at its relaxed geometry. Source: the Alexandria database, functional PBE.

abc: 5.2425 5.2425 5.2425
angles: 60.00 60.00 60.00
Each line ends with the local moment (μB).
Atoms (fractional coordinates):
Pr1 0.0000 0.0000 0.0000  0.61
Sc1 0.2500 0.2500 0.2500  0.56
Sc2 0.7500 0.7500 0.7500  0.56
Cd1 0.5000 0.5000 0.5000  0.01

Excess energy over the best structure of this formula in the dataset   13.2 kJ/mol of atoms
Magnetization   2.8 μB per cell
Fermi-level density of states   1.2654 states/eV per atom